Record 1
A plane-wave DFT calculation with PBE was carried out for BaSr2Au after structural relaxation.

Structure (extended XYZ):
```
4
Lattice="3.682 -6.307 0.000 3.682 6.307 0.000 -2.002 0.000 3.599" Properties=species:S:1:pos:R:3 pbc="T T T"
Ba 0.000 0.000 0.000
Sr 0.840 3.154 1.800
Sr 0.840 -3.154 1.800
Au 3.682 0.000 0.000
```

Properties
- VASP energy (eV/atom) = -2.176
- energy above the lowest structure with this stoichiometry (eV/f.u.) = 1.51
- calculated formation energy (kJ/mol of atoms) = -3

Record 2
A plane-wave DFT calculation with PBE was carried out for BaSr3Au2 after structural relaxation.

Structure (extended XYZ):
```
12
Lattice="10.505 -2.182 0.000 10.505 2.182 0.000 -4.590 0.000 10.438" Properties=species:S:1:pos:R:3 pbc="T T T"
Ba 1.722 0.000 1.500
Ba 14.697 0.000 8.938
Sr -2.695 0.000 7.125
Sr 6.328 0.000 1.069
Sr 4.789 0.000 4.770
Sr 11.630 0.000 5.668
Sr 10.091 0.000 9.368
Sr 19.114 0.000 3.313
Au 1.544 0.000 8.099
Au 9.547 0.000 1.178
Au 6.872 0.000 9.259
Au 14.875 0.000 2.339
```

Properties
- VASP energy (eV/atom) = -2.759
- calculated formation energy (kJ/mol of atoms) = -49

Record 3
A plane-wave DFT calculation with PBE was carried out for BaSr6Au2 after structural relaxation.

Structure (extended XYZ):
```
9
Lattice="4.075 2.353 7.295 -4.075 2.353 7.295 0.000 -4.706 7.295" Properties=species:S:1:pos:R:3 pbc="T T T"
Ba 0.000 0.000 0.000
Sr 2.140 0.998 14.583
Sr -2.856 -0.002 10.936
Sr -0.206 -2.353 14.583
Sr 1.430 -2.472 10.936
Sr -1.935 1.354 14.583
Sr 1.426 2.475 10.936
Au 0.000 0.000 9.428
Au 0.000 0.000 12.443
```

Properties
- VASP energy (eV/atom) = -2.335
- calculated formation energy (kJ/mol of atoms) = -26

Record 4
A plane-wave DFT calculation with PBE was carried out for BaSr2Au after structural relaxation.

Structure (extended XYZ):
```
4
Lattice="5.657 0.000 0.000 0.000 5.657 0.000 0.000 0.000 4.869" Properties=species:S:1:pos:R:3 pbc="T T T"
Ba 0.000 0.000 0.000
Sr 0.000 2.828 2.435
Sr 2.828 0.000 2.435
Au 2.828 2.828 0.000
```

Properties
- VASP energy (eV/atom) = -2.256
- energy above the lowest structure with this stoichiometry (eV/f.u.) = 1.19
- calculated formation energy (kJ/mol of atoms) = -11

Record 5
A plane-wave DFT calculation with PBE was carried out for Ba6SrAu4 after structural relaxation.

Structure (extended XYZ):
```
11
Lattice="-3.520 3.520 9.126 3.520 -3.520 9.126 3.520 3.520 -9.126" Properties=species:S:1:pos:R:3 pbc="T T T"
Ba 3.520 0.000 0.000
Ba 1.920 1.920 -3.298
Ba 1.599 -1.599 12.423
Ba 0.000 3.520 0.000
Ba 1.599 1.599 5.828
Ba -1.599 1.599 12.423
Sr 0.000 0.000 0.000
Au 1.952 -1.952 6.717
Au 1.568 1.568 2.409
Au -1.952 1.952 6.717
Au 1.952 1.952 11.534
```

Properties
- VASP energy (eV/atom) = -2.854
- calculated formation energy (kJ/mol of atoms) = -44

Record 6
A plane-wave DFT calculation with PBE was carried out for Ba3Sr2Au after structural relaxation.

Structure (extended XYZ):
```
6
Lattice="4.521 0.000 0.000 -0.005 6.467 0.000 -2.260 -3.228 11.290" Properties=species:S:1:pos:R:3 pbc="T T T"
Ba 0.000 0.000 0.000
Ba -0.005 0.005 8.919
Ba 2.260 3.234 2.371
Sr 0.004 0.002 4.600
Sr 2.251 3.237 6.690
Au -0.003 3.234 0.000
```

Properties
- VASP energy (eV/atom) = -2.307
- calculated formation energy (kJ/mol of atoms) = -23

Record 7
A plane-wave DFT calculation with PBE was carried out for BaSrAu3 after structural relaxation.

Structure (extended XYZ):
```
5
Lattice="5.717 0.000 0.000 0.000 5.717 0.000 0.000 0.000 5.717" Properties=species:S:1:pos:R:3 pbc="T T T"
Ba 0.000 0.000 0.000
Sr 2.859 2.859 2.859
Au 0.000 2.859 2.859
Au 2.859 0.000 2.859
Au 2.859 2.859 0.000
```

Properties
- VASP energy (eV/atom) = -2.988
- energy above the lowest structure with this stoichiometry (eV/f.u.) = 2.27
- calculated formation energy (kJ/mol of atoms) = -29

Record 8
A plane-wave DFT calculation with PBE was carried out for BaSr2Au after structural relaxation.

Structure (extended XYZ):
```
4
Lattice="-2.569 2.569 6.181 2.569 -2.569 6.181 2.569 2.569 -6.181" Properties=species:S:1:pos:R:3 pbc="T T T"
Ba 0.000 0.000 0.000
Sr 2.569 0.000 3.091
Sr 0.000 2.569 3.091
Au 0.000 0.000 6.181
```

Properties
- VASP energy (eV/atom) = -2.230
- energy above the lowest structure with this stoichiometry (eV/f.u.) = 1.29
- calculated formation energy (kJ/mol of atoms) = -9

Record 9
A plane-wave DFT calculation with PBE was carried out for BaSrAu2 after structural relaxation.

Structure (extended XYZ):
```
4
Lattice="-2.304 2.304 5.970 2.304 -2.304 5.970 2.304 2.304 -5.970" Properties=species:S:1:pos:R:3 pbc="T T T"
Ba 0.000 0.000 0.000
Sr 2.304 0.000 2.985
Au 0.000 0.000 5.970
Au 0.000 2.304 2.985
```

Properties
- VASP energy (eV/atom) = -3.062
- energy above the lowest structure with this stoichiometry (eV/f.u.) = 0.85
- calculated formation energy (kJ/mol of atoms) = -50

Record 10
A plane-wave DFT calculation with PBE was carried out for BaSrAu3 after structural relaxation.

Structure (extended XYZ):
```
10
Lattice="2.154 -14.684 0.000 2.154 14.684 0.000 0.000 0.000 4.724" Properties=species:S:1:pos:R:3 pbc="T T T"
Ba 2.154 12.559 3.543
Ba 2.154 -12.559 1.181
Sr 2.154 8.673 1.181
Sr 2.154 -8.673 3.543
Au 2.154 5.361 1.181
Au 2.154 3.604 3.543
Au 2.154 0.768 3.543
Au 2.154 -0.768 1.181
Au 2.154 -3.604 1.181
Au 2.154 -5.361 3.543
```

Properties
- VASP energy (eV/atom) = -3.443
- energy above the lowest structure with this stoichiometry (eV/f.u.) = 0.00
- calculated formation energy (kJ/mol of atoms) = -73

Record 11
A plane-wave DFT calculation with PBE was carried out for Ba3SrAu after structural relaxation.

Structure (extended XYZ):
```
5
Lattice="6.528 0.000 0.000 0.000 6.528 0.000 0.000 0.000 6.528" Properties=species:S:1:pos:R:3 pbc="T T T"
Ba 0.000 0.000 3.264
Ba 0.000 3.264 0.000
Ba 3.264 0.000 0.000
Sr 3.264 3.264 3.264
Au 0.000 0.000 0.000
```

Properties
- VASP energy (eV/atom) = -2.452
- energy above the lowest structure with this stoichiometry (eV/f.u.) = 0.02
- calculated formation energy (kJ/mol of atoms) = -30

Record 12
A plane-wave DFT calculation with PBE was carried out for Ba4SrAu4 after structural relaxation.

Structure (extended XYZ):
```
9
Lattice="7.797 -2.369 0.000 7.797 2.369 0.000 -5.705 0.000 9.998" Properties=species:S:1:pos:R:3 pbc="T T T"
Ba -0.556 0.000 3.939
Ba 3.585 0.000 1.917
Ba 6.304 0.000 8.082
Ba 10.445 0.000 6.059
Sr 7.797 0.000 0.000
Au -3.694 0.000 9.017
Au 0.617 0.000 7.066
Au 9.272 0.000 2.932
Au 13.583 0.000 0.981
```

Properties
- VASP energy (eV/atom) = -3.136
- calculated formation energy (kJ/mol of atoms) = -62

Record 13
A plane-wave DFT calculation with PBE was carried out for BaSr3Au after structural relaxation.

Structure (extended XYZ):
```
5
Lattice="6.697 0.000 0.000 0.000 6.697 0.000 0.000 0.000 6.697" Properties=species:S:1:pos:R:3 pbc="T T T"
Ba 0.000 0.000 0.000
Sr 0.000 0.000 3.349
Sr 0.000 3.349 0.000
Sr 3.349 0.000 0.000
Au 3.349 3.349 3.349
```

Properties
- VASP energy (eV/atom) = -1.116
- energy above the lowest structure with this stoichiometry (eV/f.u.) = 6.40
- calculated formation energy (kJ/mol of atoms) = 90

Record 14
A plane-wave DFT calculation with PBE was carried out for Ba2Sr2Au after structural relaxation.

Structure (extended XYZ):
```
10
Lattice="8.348 0.000 0.000 0.000 8.348 0.000 0.000 0.000 6.984" Properties=species:S:1:pos:R:3 pbc="T T T"
Ba 1.448 2.726 0.000
Ba 2.726 6.899 0.000
Ba 5.622 1.448 0.000
Ba 6.899 5.622 0.000
Sr 1.397 5.571 3.492
Sr 2.777 1.397 3.492
Sr 5.571 6.951 3.492
Sr 6.951 2.777 3.492
Au 0.000 0.000 3.492
Au 4.174 4.174 3.492
```

Properties
- VASP energy (eV/atom) = -2.235
- energy above the lowest structure with this stoichiometry (eV/f.u.) = 0.97
- calculated formation energy (kJ/mol of atoms) = -13

Record 15
A plane-wave DFT calculation with PBE was carried out for BaSr2Au after structural relaxation.

Structure (extended XYZ):
```
4
Lattice="4.047 0.000 0.000 0.000 4.047 0.000 0.000 0.000 10.416" Properties=species:S:1:pos:R:3 pbc="T T T"
Ba 0.000 0.000 0.000
Sr 0.000 0.000 6.710
Sr 2.024 2.024 3.461
Au 2.024 2.024 8.433
```

Properties
- VASP energy (eV/atom) = -2.506
- energy above the lowest structure with this stoichiometry (eV/f.u.) = 0.19
- calculated formation energy (kJ/mol of atoms) = -35

Record 16
A plane-wave DFT calculation with PBE was carried out for BaSrAu2 after structural relaxation.

Structure (extended XYZ):
```
4
Lattice="2.287 1.320 7.875 -2.287 1.320 7.875 0.000 -2.641 7.875" Properties=species:S:1:pos:R:3 pbc="T T T"
Ba 0.000 0.000 0.000
Sr 0.000 0.000 19.523
Au 0.000 0.000 5.716
Au 0.000 0.000 9.846
```

Properties
- VASP energy (eV/atom) = -3.188
- energy above the lowest structure with this stoichiometry (eV/f.u.) = 0.34
- calculated formation energy (kJ/mol of atoms) = -62

Record 17
A plane-wave DFT calculation with PBE was carried out for Ba4SrAu2 after structural relaxation.

Structure (extended XYZ):
```
14
Lattice="5.898 -9.903 0.000 5.898 9.903 0.000 -4.996 0.000 5.838" Properties=species:S:1:pos:R:3 pbc="T T T"
Ba 1.905 4.862 1.349
Ba 3.400 8.698 2.919
Ba -0.566 2.730 4.228
Ba 1.933 -2.730 1.309
Ba 3.526 1.204 3.020
Ba -0.593 -4.862 4.268
Ba 6.025 -1.204 0.101
Ba 5.898 -8.698 0.000
Sr 7.842 2.989 1.292
Sr 5.344 -2.989 4.211
Au -1.933 0.137 5.829
Au 2.034 4.952 4.637
Au 0.565 -0.137 2.910
Au 4.533 -4.952 1.718
```

Properties
- VASP energy (eV/atom) = -2.675
- calculated formation energy (kJ/mol of atoms) = -39

Record 18
A plane-wave DFT calculation with PBE was carried out for Ba5SrAu5 after structural relaxation.

Structure (extended XYZ):
```
11
Lattice="7.486 -3.318 0.000 7.486 3.318 0.000 -3.000 0.000 8.944" Properties=species:S:1:pos:R:3 pbc="T T T"
Ba 0.000 0.000 0.000
Ba 4.361 0.000 1.536
Ba 2.961 0.000 5.882
Ba 9.011 0.000 3.062
Ba 7.611 0.000 7.408
Sr -1.500 0.000 4.472
Au 1.377 0.000 2.991
Au -0.043 0.000 7.405
Au 5.986 0.000 4.472
Au 12.015 0.000 1.539
Au 10.595 0.000 5.953
```

Properties
- VASP energy (eV/atom) = -3.165
- calculated formation energy (kJ/mol of atoms) = -63

Record 19
A plane-wave DFT calculation with PBE was carried out for Ba8SrAu5 after structural relaxation.

Structure (extended XYZ):
```
14
Lattice="12.270 -2.382 0.000 12.270 2.382 0.000 -2.713 0.000 11.476" Properties=species:S:1:pos:R:3 pbc="T T T"
Ba 1.376 0.000 1.825
Ba 4.176 0.000 9.646
Ba 6.728 0.000 5.787
Ba 9.592 0.000 1.922
Ba 12.235 0.000 9.554
Ba 15.099 0.000 5.688
Ba 17.650 0.000 1.830
Ba 20.450 0.000 9.651
Sr -1.356 0.000 5.738
Au 1.343 0.000 11.353
Au 4.079 0.000 3.799
Au 12.270 0.000 0.000
Au 17.747 0.000 7.677
Au 20.484 0.000 0.123
```

Properties
- VASP energy (eV/atom) = -2.905
- calculated formation energy (kJ/mol of atoms) = -50

Record 20
A plane-wave DFT calculation with PBE was carried out for BaSr2Au after structural relaxation.

Structure (extended XYZ):
```
4
Lattice="2.273 1.312 10.974 -2.273 1.312 10.974 0.000 -2.625 10.974" Properties=species:S:1:pos:R:3 pbc="T T T"
Ba 0.000 0.000 0.000
Sr 0.000 0.000 7.207
Sr 0.000 0.000 14.633
Au 0.000 0.000 23.877
```

Properties
- VASP energy (eV/atom) = -2.495
- energy above the lowest structure with this stoichiometry (eV/f.u.) = 0.23
- calculated formation energy (kJ/mol of atoms) = -34

Record 21
A plane-wave DFT calculation with PBE was carried out for BaSr2Au after structural relaxation.

Structure (extended XYZ):
```
4
Lattice="4.368 0.000 0.000 0.000 2.489 8.405 0.000 -2.489 8.405" Properties=species:S:1:pos:R:3 pbc="T T T"
Ba 0.000 0.000 0.000
Sr 0.000 0.000 11.590
Sr 2.184 0.000 5.800
Au 2.184 0.000 9.094
```

Properties
- VASP energy (eV/atom) = -2.512
- energy above the lowest structure with this stoichiometry (eV/f.u.) = 0.17
- calculated formation energy (kJ/mol of atoms) = -36

Record 22
A plane-wave DFT calculation with PBE was carried out for BaSr2Au after structural relaxation.

Structure (extended XYZ):
```
4
Lattice="-2.593 2.593 5.913 2.593 -2.593 5.913 2.593 2.593 -5.913" Properties=species:S:1:pos:R:3 pbc="T T T"
Ba 0.000 0.000 0.000
Sr 2.593 0.000 2.957
Sr 0.000 0.000 5.913
Au 0.000 2.593 2.957
```

Properties
- VASP energy (eV/atom) = -2.233
- energy above the lowest structure with this stoichiometry (eV/f.u.) = 1.28
- calculated formation energy (kJ/mol of atoms) = -9

Record 23
A plane-wave DFT calculation with PBE was carried out for BaSrAu2 after structural relaxation.

Structure (extended XYZ):
```
4
Lattice="3.950 0.000 0.000 0.000 3.950 0.000 0.000 0.000 7.834" Properties=species:S:1:pos:R:3 pbc="T T T"
Ba 0.000 0.000 0.000
Sr 0.000 0.000 3.917
Au 1.975 1.975 2.108
Au 1.975 1.975 5.726
```

Properties
- VASP energy (eV/atom) = -3.252
- energy above the lowest structure with this stoichiometry (eV/f.u.) = 0.09
- calculated formation energy (kJ/mol of atoms) = -69

Record 24
A plane-wave DFT calculation with PBE was carried out for Ba2SrAu6 after structural relaxation.

Structure (extended XYZ):
```
9
Lattice="8.459 0.000 0.000 -4.230 7.326 0.000 0.000 0.000 4.098" Properties=species:S:1:pos:R:3 pbc="T T T"
Ba 0.000 4.884 0.000
Ba 4.230 2.442 0.000
Sr 0.000 0.000 0.000
Au -1.399 2.423 2.049
Au -2.831 4.903 2.049
Au 2.798 0.000 2.049
Au 1.399 2.423 2.049
Au 5.661 0.000 2.049
Au 2.831 4.903 2.049
```

Properties
- VASP energy (eV/atom) = -3.530
- calculated formation energy (kJ/mol of atoms) = -71

Record 25
A plane-wave DFT calculation with PBE was carried out for BaSr2Au after structural relaxation.

Structure (extended XYZ):
```
4
Lattice="-2.045 3.043 6.885 2.045 -3.043 6.885 2.045 3.043 -6.885" Properties=species:S:1:pos:R:3 pbc="T T T"
Ba 0.000 0.000 0.000
Sr 0.000 0.000 4.977
Sr 0.000 3.043 2.516
Au 2.045 0.000 2.573
```

Properties
- VASP energy (eV/atom) = -2.458
- energy above the lowest structure with this stoichiometry (eV/f.u.) = 0.38
- calculated formation energy (kJ/mol of atoms) = -31

Record 26
A plane-wave DFT calculation with PBE was carried out for BaSr2Au after structural relaxation.

Structure (extended XYZ):
```
8
Lattice="2.230 -7.301 0.000 2.230 7.301 0.000 0.000 0.000 10.693" Properties=species:S:1:pos:R:3 pbc="T T T"
Ba 2.230 6.155 8.019
Ba 2.230 -6.155 2.673
Sr 2.230 2.169 6.085
Sr 2.230 2.169 9.954
Sr 2.230 -2.169 0.738
Sr 2.230 -2.169 4.608
Au 2.230 3.666 2.673
Au 2.230 -3.666 8.019
```

Properties
- VASP energy (eV/atom) = -2.554
- energy above the lowest structure with this stoichiometry (eV/f.u.) = 0.00
- calculated formation energy (kJ/mol of atoms) = -40